Crystalline ScBe3 at its relaxed geometry. Source: Alexandria via LeMat-Bulk, functional GGA-PBE.

abc: 2.510 3.551 5.443
angles: 90.00 102.78 90.00
Sites, in units of the cell vectors:
Sc1 0.000 0.000 0.000
Be1 0.298 0.500 0.677
Be2 0.500 0.000 0.500
Be3 0.702 0.500 0.323

Values from the calculation:
formation enthalpy at 0 K = 0.15 eV per atom
DOS(E_F) = 0.36 states/eV/atom
uncorrected energy = -4.22 eV/atom
density = 2.53 Mg/m³
relative energy among the computed polymorphs = 289 meV per atom
crystal system = monoclinic

---

Crystalline LiPm2InS5 at its relaxed geometry. Source: Alexandria via LeMat-Bulk, functional GGA-PBE.

abc: 8.759 8.759 11.398
angles: 90.00 90.00 153.86
Sites, in units of the cell vectors:
Li1 0.225 0.775 0.500
Li2 0.775 0.225 0.000
Pm1 0.125 0.875 0.165
Pm2 0.125 0.875 0.787
Pm3 0.875 0.125 0.287
Pm4 0.875 0.125 0.665
In1 0.417 0.583 0.959
In2 0.583 0.417 0.459
S1 0.035 0.965 0.565
S2 0.301 0.699 0.140
S3 0.302 0.698 0.821
S4 0.362 0.638 0.480
S5 0.492 0.508 0.768
S6 0.508 0.492 0.268
S7 0.638 0.362 0.980
S8 0.698 0.302 0.321
S9 0.699 0.301 0.640
S10 0.965 0.035 0.065

Values from the calculation:
formation energy without anion corrections = -1.5049 eV/atom
DOS(E_F) = 0.00 states/eV/atom
uncorrected energy = -5.37 eV/atom
density = 4.93 Mg/m³
crystal system = orthorhombic

---

Crystalline NpSeI at its relaxed geometry. Source: Alexandria via LeMat-Bulk, functional GGA-PBE.

abc: 7.453 7.453 7.453
angles: 151.44 151.44 40.83
Sites, in units of the cell vectors:
Np1 0.000 0.000 0.000
Se1 0.600 0.600 0.000
I1 0.351 0.351 0.000

Values from the calculation:
formation energy without anion corrections = -0.8606 eV/atom
DOS(E_F) = 2.52 states/eV/atom
uncorrected energy = -6.85 eV/atom
density = 7.79 Mg/m³
relative energy among the computed polymorphs = 179 meV per atom
crystal system = tetragonal

---

Crystalline PrSmHo2 at its relaxed geometry. Source: Alexandria via LeMat-Bulk, functional GGA-PBE.

abc: 10.182 5.086 10.156
angles: 90.00 90.00 90.00
Sites, in units of the cell vectors:
Pr1 0.127 0.250 0.000
Pr2 0.373 0.750 0.500
Pr3 0.627 0.250 0.500
Pr4 0.873 0.750 0.000
Sm1 0.125 0.750 0.253
Sm2 0.375 0.250 0.753
Sm3 0.625 0.750 0.247
Sm4 0.875 0.250 0.747
Ho1 0.122 0.250 0.500
Ho2 0.125 0.750 0.748
Ho3 0.375 0.250 0.248
Ho4 0.378 0.750 0.000
Ho5 0.622 0.250 0.000
Ho6 0.625 0.750 0.752
Ho7 0.875 0.250 0.252
Ho8 0.878 0.750 0.500

Values from the calculation:
formation enthalpy at 0 K = 0.02 eV per atom
DOS(E_F) = 1.48 states/eV/atom
uncorrected energy = -4.64 eV/atom
density = 7.84 Mg/m³
relative energy among the computed polymorphs = 6 meV per atom
crystal system = orthorhombic

---

Crystalline CaCd3Ir at its relaxed geometry. Source: Alexandria via LeMat-Bulk, functional GGA-PBE.

abc: 5.827 5.827 5.827
angles: 90.00 90.00 90.00
Sites, in units of the cell vectors:
Ca1 0.000 0.000 0.000
Cd1 0.000 0.000 0.500
Cd2 0.000 0.500 0.000
Cd3 0.500 0.000 0.000
Ir1 0.500 0.500 0.500

Values from the calculation:
formation enthalpy at 0 K = 1.52 eV per atom
DOS(E_F) = 1.25 states/eV/atom
uncorrected energy = -1.20 eV/atom
density = 4.78 Mg/m³
relative energy among the computed polymorphs = 1508 meV per atom
crystal system = cubic

---

Crystalline Tb7Nd2Ho at its relaxed geometry. Source: Alexandria via LeMat-Bulk, functional GGA-PBE.

abc: 14.835 14.835 3.511
angles: 90.00 90.00 154.51
Sites, in units of the cell vectors:
Tb1 0.000 0.000 0.000
Tb2 0.157 0.352 0.000
Tb3 0.315 0.685 0.500
Tb4 0.352 0.157 0.000
Tb5 0.648 0.843 0.000
Tb6 0.685 0.315 0.500
Tb7 0.843 0.648 0.000
Nd1 0.207 0.793 0.000
Nd2 0.793 0.207 0.000
Ho1 0.500 0.500 0.500

Values from the calculation:
formation enthalpy at 0 K = 0.16 eV per atom
DOS(E_F) = 1.61 states/eV/atom
uncorrected energy = -4.50 eV/atom
density = 7.82 Mg/m³
relative energy among the computed polymorphs = 141 meV per atom
crystal system = orthorhombic

---

Crystalline SrBiPt at its relaxed geometry. Source: Alexandria via LeMat-Bulk, functional GGA-PBE.

abc: 5.851 8.231 6.952
angles: 90.00 90.00 90.00
Sites, in units of the cell vectors:
Sr1 0.141 0.104 0.250
Sr2 0.141 0.396 0.750
Sr3 0.859 0.604 0.250
Sr4 0.859 0.896 0.750
Bi1 0.362 0.750 0.000
Bi2 0.362 0.750 0.500
Bi3 0.638 0.250 0.000
Bi4 0.638 0.250 0.500
Pt1 0.364 0.052 0.750
Pt2 0.364 0.448 0.250
Pt3 0.636 0.552 0.750
Pt4 0.636 0.948 0.250

Values from the calculation:
formation enthalpy at 0 K = -0.64 eV per atom
DOS(E_F) = 0.74 states/eV/atom
uncorrected energy = -4.51 eV/atom
density = 9.75 Mg/m³
crystal system = orthorhombic

---

Crystalline Li2CoIrI at its relaxed geometry. Source: Alexandria via LeMat-Bulk, functional GGA-PBE.

abc: 4.755 4.755 4.781
angles: 90.00 90.00 90.00
Sites, in units of the cell vectors:
Li1 0.000 0.500 0.000
Li2 0.500 0.000 0.000
Co1 0.000 0.000 0.500
Ir1 0.500 0.500 0.500
I1 0.000 0.000 0.000

Values from the calculation:
formation energy without anion corrections = 1.0347 eV/atom
DOS(E_F) = 1.23 states/eV/atom
uncorrected energy = -3.23 eV/atom
density = 6.02 Mg/m³
crystal system = tetragonal

---

Crystalline Na2TcCl at its relaxed geometry. Source: Alexandria via LeMat-Bulk, functional GGA-PBE.

abc: 7.024 7.024 7.024
angles: 96.45 96.45 140.83
Sites, in units of the cell vectors:
Na1 0.012 0.125 0.387
Na2 0.375 0.988 0.113
Na3 0.738 0.625 0.613
Na4 0.875 0.262 0.887
Tc1 0.250 0.750 0.500
Tc2 0.500 0.500 0.000
Cl1 0.000 0.000 0.000
Cl2 0.750 0.250 0.500

Values from the calculation:
formation energy without anion corrections = 0.4808 eV/atom
DOS(E_F) = 0.77 states/eV/atom
uncorrected energy = -3.23 eV/atom
density = 2.89 Mg/m³
relative energy among the computed polymorphs = 0 meV per atom
crystal system = tetragonal

---

Crystalline AuS5N5Cl4 at its relaxed geometry. Source: Alexandria via LeMat-Bulk, functional GGA-PBE.

abc: 5.991 12.193 10.760
angles: 90.00 101.32 90.00
Sites, in units of the cell vectors:
Au1 0.160 0.250 0.292
Au2 0.840 0.750 0.708
S1 0.115 0.630 0.352
S2 0.115 0.870 0.352
S3 0.378 0.250 0.953
S4 0.412 0.563 0.176
S5 0.412 0.937 0.176
S6 0.588 0.063 0.824
S7 0.588 0.437 0.824
S8 0.622 0.750 0.047
S9 0.885 0.130 0.648
S10 0.885 0.370 0.648
N1 0.047 0.750 0.388
N2 0.274 0.638 0.252
N3 0.274 0.862 0.252
N4 0.452 0.136 0.905
N5 0.452 0.364 0.905
N6 0.548 0.636 0.095
N7 0.548 0.864 0.095
N8 0.726 0.138 0.748
N9 0.726 0.362 0.748
N10 0.953 0.250 0.612
Cl1 0.042 0.615 0.835
Cl2 0.042 0.885 0.835
Cl3 0.364 0.115 0.418
Cl4 0.364 0.385 0.418
Cl5 0.636 0.615 0.582
Cl6 0.636 0.885 0.582
Cl7 0.958 0.115 0.165
Cl8 0.958 0.385 0.165

Values from the calculation:
formation energy without anion corrections = 0.2099 eV/atom
uncorrected energy = -4.65 eV/atom
density = 2.45 Mg/m³
crystal system = monoclinic

---

Crystalline PrNd2SmHo5 at its relaxed geometry. Source: Alexandria via LeMat-Bulk, functional GGA-PBE.

abc: 9.939 9.939 9.939
angles: 127.84 127.84 76.89
Sites, in units of the cell vectors:
Pr1 0.250 0.250 0.000
Pr2 0.750 0.750 0.000
Nd1 0.117 0.617 0.735
Nd2 0.383 0.117 0.500
Nd3 0.617 0.883 0.500
Nd4 0.883 0.383 0.265
Sm1 0.250 0.750 0.500
Sm2 0.750 0.250 0.500
Ho1 0.000 0.000 0.000
Ho2 0.072 0.154 0.500
Ho3 0.154 0.654 0.081
Ho4 0.346 0.428 0.500
Ho5 0.428 0.928 0.081
Ho6 0.500 0.500 0.000
Ho7 0.572 0.072 0.919
Ho8 0.654 0.572 0.500
Ho9 0.846 0.346 0.919
Ho10 0.928 0.846 0.500

Values from the calculation:
formation enthalpy at 0 K = 0.25 eV per atom
DOS(E_F) = 1.08 states/eV/atom
uncorrected energy = -4.41 eV/atom
density = 7.85 Mg/m³
crystal system = tetragonal

---

Crystalline Tb6Sm3DyTm2 at its relaxed geometry. Source: Alexandria via LeMat-Bulk, functional GGA-PBE.

abc: 6.170 6.170 11.806
angles: 94.98 94.98 119.97
Sites, in units of the cell vectors:
Tb1 0.084 0.417 0.753
Tb2 0.249 0.249 0.246
Tb3 0.417 0.084 0.753
Tb4 0.583 0.916 0.247
Tb5 0.751 0.751 0.754
Tb6 0.916 0.583 0.247
Sm1 0.000 0.000 0.500
Sm2 0.333 0.667 0.500
Sm3 0.667 0.333 0.500
Dy1 0.500 0.500 0.000
Tm1 0.167 0.833 0.000
Tm2 0.833 0.167 0.000

Values from the calculation:
formation enthalpy at 0 K = 0.02 eV per atom
DOS(E_F) = 1.30 states/eV/atom
uncorrected energy = -4.61 eV/atom
density = 8.25 Mg/m³
crystal system = monoclinic

---

Crystalline Dy2YMgBi4 at its relaxed geometry. Source: Alexandria via LeMat-Bulk, functional GGA-PBE.

abc: 7.762 4.435 7.771
angles: 90.00 109.85 90.00
Sites, in units of the cell vectors:
Dy1 0.000 0.000 0.000
Dy2 0.000 0.500 0.500
Y1 0.500 0.000 0.500
Mg1 0.500 0.500 0.000
Bi1 0.251 0.500 0.248
Bi2 0.257 0.000 0.757
Bi3 0.743 0.000 0.243
Bi4 0.749 0.500 0.752

Values from the calculation:
formation enthalpy at 0 K = -0.62 eV per atom
DOS(E_F) = 0.42 states/eV/atom
uncorrected energy = -4.72 eV/atom
density = 8.41 Mg/m³
crystal system = monoclinic

---

Crystalline K6CdHg5 at its relaxed geometry. Source: Alexandria via LeMat-Bulk, functional GGA-PBE.

abc: 10.372 10.372 10.372
angles: 146.45 131.14 60.57
Sites, in units of the cell vectors:
K1 0.079 0.331 0.748
K2 0.245 0.000 0.245
K3 0.416 0.669 0.748
K4 0.584 0.331 0.252
K5 0.755 0.000 0.755
K6 0.921 0.669 0.252
Cd1 0.500 0.500 0.000
Hg1 0.000 0.500 0.500
Hg2 0.166 0.166 0.000
Hg3 0.339 0.839 0.500
Hg4 0.661 0.161 0.500
Hg5 0.834 0.834 0.000

Values from the calculation:
formation enthalpy at 0 K = -0.18 eV per atom
DOS(E_F) = 0.60 states/eV/atom
uncorrected energy = -0.93 eV/atom
density = 4.87 Mg/m³
crystal system = orthorhombic

---

Crystalline MnSb3As at its relaxed geometry. Source: Alexandria via LeMat-Bulk, functional GGA-PBE.

abc: 4.915 4.915 4.915
angles: 90.00 90.00 90.00
Sites, in units of the cell vectors:
Mn1 0.000 0.000 0.000
Sb1 0.000 0.000 0.500
Sb2 0.000 0.500 0.000
Sb3 0.500 0.000 0.000
As1 0.500 0.500 0.500

Values from the calculation:
formation energy without anion corrections = 0.4339 eV/atom
DOS(E_F) = 0.56 states/eV/atom
uncorrected energy = -4.80 eV/atom
density = 6.92 Mg/m³
relative energy among the computed polymorphs = 0 meV per atom
crystal system = cubic

---

Crystalline NaGa6Pd3 at its relaxed geometry. Source: Alexandria via LeMat-Bulk, functional GGA-PBE.

abc: 8.132 4.081 10.744
angles: 90.00 96.02 90.00
Sites, in units of the cell vectors:
Na1 0.012 0.250 0.269
Na2 0.988 0.750 0.731
Ga1 0.065 0.250 0.932
Ga2 0.193 0.750 0.432
Ga3 0.259 0.750 0.191
Ga4 0.326 0.750 0.720
Ga5 0.417 0.250 0.073
Ga6 0.446 0.250 0.582
Ga7 0.554 0.750 0.418
Ga8 0.583 0.750 0.927
Ga9 0.674 0.250 0.280
Ga10 0.741 0.250 0.809
Ga11 0.807 0.250 0.568
Ga12 0.935 0.750 0.068
Pd1 0.130 0.250 0.556
Pd2 0.262 0.750 0.950
Pd3 0.369 0.250 0.335
Pd4 0.631 0.750 0.665
Pd5 0.738 0.250 0.050
Pd6 0.870 0.750 0.444

Values from the calculation:
formation enthalpy at 0 K = -0.36 eV per atom
DOS(E_F) = 0.25 states/eV/atom
uncorrected energy = -3.87 eV/atom
density = 7.12 Mg/m³
crystal system = monoclinic

---

Crystalline HfTl2Zn2 at its relaxed geometry. Source: Alexandria via LeMat-Bulk, functional GGA-PBE.

abc: 7.767 7.767 3.471
angles: 90.00 90.00 90.00
Sites, in units of the cell vectors:
Hf1 0.000 0.000 0.000
Hf2 0.500 0.500 0.000
Tl1 0.182 0.318 0.500
Tl2 0.318 0.818 0.500
Tl3 0.682 0.182 0.500
Tl4 0.818 0.682 0.500
Zn1 0.119 0.619 0.000
Zn2 0.381 0.119 0.000
Zn3 0.619 0.881 0.000
Zn4 0.881 0.381 0.000

Values from the calculation:
formation enthalpy at 0 K = 0.23 eV per atom
DOS(E_F) = 0.38 states/eV/atom
uncorrected energy = -3.21 eV/atom
density = 11.39 Mg/m³
crystal system = tetragonal

---

Crystalline Li2MnS3 at its relaxed geometry. Source: Alexandria via LeMat-Bulk, functional GGA-PBE.

abc: 6.202 6.202 5.999
angles: 100.57 100.57 118.16
Sites, in units of the cell vectors:
Li1 0.092 0.908 0.750
Li2 0.257 0.743 0.250
Li3 0.743 0.257 0.750
Li4 0.908 0.092 0.250
Mn1 0.416 0.584 0.750
Mn2 0.584 0.416 0.250
S1 0.000 0.500 0.500
S2 0.213 0.352 0.987
S3 0.352 0.213 0.487
S4 0.500 0.000 0.000
S5 0.648 0.787 0.513
S6 0.787 0.648 0.013

Values from the calculation:
formation energy without anion corrections = -0.8781 eV/atom
DOS(E_F) = 0.07 states/eV/atom
uncorrected energy = -5.11 eV/atom
density = 2.88 Mg/m³
crystal system = monoclinic

---

Crystalline PmDy2Si2 at its relaxed geometry. Source: Alexandria via LeMat-Bulk, functional GGA-PBE.

abc: 7.653 7.653 4.131
angles: 90.00 90.00 90.00
Sites, in units of the cell vectors:
Pm1 0.000 0.000 0.000
Pm2 0.500 0.500 0.000
Dy1 0.176 0.324 0.500
Dy2 0.324 0.824 0.500
Dy3 0.676 0.176 0.500
Dy4 0.824 0.676 0.500
Si1 0.114 0.614 0.000
Si2 0.386 0.114 0.000
Si3 0.614 0.886 0.000
Si4 0.886 0.386 0.000

Values from the calculation:
formation energy without anion corrections = -0.6434 eV/atom
DOS(E_F) = 1.08 states/eV/atom
uncorrected energy = -5.60 eV/atom
density = 7.22 Mg/m³
relative energy among the computed polymorphs = 0 meV per atom
crystal system = tetragonal

---

Crystalline PmCo4Ge at its relaxed geometry. Source: Alexandria via LeMat-Bulk, functional GGA-PBE.

abc: 4.973 4.973 4.973
angles: 60.00 60.00 60.00
Sites, in units of the cell vectors:
Pm1 0.000 0.000 0.000
Co1 0.129 0.624 0.624
Co2 0.624 0.129 0.624
Co3 0.624 0.624 0.129
Co4 0.624 0.624 0.624
Ge1 0.250 0.250 0.250

Values from the calculation:
formation enthalpy at 0 K = -0.02 eV per atom
DOS(E_F) = 1.68 states/eV/atom
uncorrected energy = -6.32 eV/atom
density = 8.66 Mg/m³
relative energy among the computed polymorphs = 38 meV per atom
crystal system = cubic